Computed, not measured: crystalline CeGaHg2 at its relaxed geometry at the PBE-GGA level of DFT.

```
CeGaHg2
1.0
-2.549 1.751 1.987
-2.220 -2.917 -0.278
2.838 -2.736 6.050
Hg Ce Ga
2 1 1
Cartesian
2.200 -2.121 4.691 Hg
0.638 -0.615 1.359 Hg
-0.965 -1.951 3.880 Ce
-2.384 -0.583 0.855 Ga
```

Summary:
Crystal system ... tetragonal
ΔH_f (0 K) ... -0.190 eV per atom